## Tl5Sb3Pb3 (GGA-PBE)

Data for Tl5Sb3Pb3 after structural relaxation.

a = 10.5152 Å, b = 10.5152 Å, c = 4.5195 Å
α = 90.00°, β = 90.00°, γ = 120.00°
Closest atoms and distances in Å follow each position.
Sites, in units of the cell vectors:
Tl 0.0000 0.6984 0.0000  2 Sb 3.07, 2 Pb 3.34
Tl 0.3016 0.3016 0.0000  2 Sb 3.07, 2 Pb 3.34
Tl 0.3333 0.6667 0.0000  3 Tl 3.68, 6 Pb 3.80, 3 Sb 3.81
Tl 0.6667 0.3333 0.0000  3 Tl 3.68, 6 Pb 3.80, 3 Sb 3.81
Tl 0.6984 0.0000 0.0000  2 Sb 3.07, 2 Pb 3.34
Sb 0.0000 0.2804 0.0000  2 Pb 2.98, 2 Tl 3.07
Sb 0.2804 0.0000 0.0000  2 Pb 2.98, 2 Tl 3.07
Sb 0.7196 0.7196 0.0000  2 Pb 2.98, 2 Tl 3.07
Pb 0.0000 0.4651 0.5000  2 Sb 2.98, 2 Tl 3.34
Pb 0.4651 0.0000 0.5000  2 Sb 2.98, 2 Tl 3.34
Pb 0.5349 0.5349 0.5000  2 Sb 2.98, 2 Tl 3.34

- Energy above the lowest structure with this stoichiometry: 0.004 eV per atom
- Crystal system: hexagonal
- ρ: 7.7 g/cm3
- Formation energy without anion corrections: 0.134 eV per atom
- Uncorrected energy: -3.077 eV per atom
- N(E_F): 0.362 states/eV per atom
- M_tot: 0.00 Bohr magnetons per cell